Record 1
## PrTcOs (GGA-PBE)

Data for an optimized crystal structure of PrTcOs.

Cell lengths 8.7491, 5.8702, 5.1366 Å; angles 90.00, 109.06, 90.00 degrees
Closest atoms and distances in Å follow each position.
Space group C2/m (No. 12)
Symmetry-distinct sites (fractional):
Pr1 0.1310 0.0000 0.3700 (multiplicity 4)  2 Tc 2.85, 1 Pr 3.01, 2 Os 3.19
Tc1 0.2500 0.2500 0.0000 (multiplicity 4)  2 Os 2.48
Os1 0.0195 0.5000 0.7521 (multiplicity 4)  2 Tc 2.48, 2 Os 2.50-2.68

Computed properties:
For the size of the total moment, the calculation gives 0.0 Bohr magnetons per cell. The crystal system is monoclinic. The calculation puts the formation energy at 0.3279 eV per atom.

***

Record 2
## GaCo (GGA-PBE)

Data for an optimized crystal structure of GaCo.

Cell lengths 4.5320, 5.1309, 8.5920 Å; angles 90.00, 90.00, 90.00 degrees
Closest atoms and distances in Å follow each position.
Space group P2_12_12_1 (No. 19)
Symmetry-distinct sites (fractional):
Ga1 0.0360 0.0919 0.2221 (multiplicity 4)  6 Co 2.38-2.61, 3 Ga 2.55-2.63
Ga2 0.1946 0.4084 0.5256 (multiplicity 4)  7 Co 2.43-2.64, 2 Ga 2.55-2.66
Co1 0.0333 0.6551 0.7680 (multiplicity 4)  6 Ga 2.38-2.61, 3 Co 2.60-2.64
Co2 0.1850 0.8999 0.4761 (multiplicity 4)  7 Ga 2.43-2.64, 1 Co 2.64

Computed properties:
For the size of the total moment, the calculation gives 2.3 Bohr magnetons per cell. The crystal system is orthorhombic. The calculation puts the formation energy at -0.1140 eV per atom.

***

Record 3
## DyErSc4 (GGA-PBE)

Data for an optimized crystal structure of DyErSc4.

Cell lengths 3.3711, 17.4432, 10.8217 Å; angles 90.00, 90.00, 90.00 degrees
Closest atoms and distances in Å follow each position.
Space group Cmc2_1 (No. 36)
Symmetry-distinct sites (fractional):
Dy1 0.0000 0.1632 0.0000 (multiplicity 4)  7 Sc 3.33-3.47, 3 Er 3.33-3.40, 2 Dy 3.37
Er1 0.0000 0.2798 0.7565 (multiplicity 4)  3 Dy 3.33-3.40, 7 Sc 3.36-3.45, 2 Er 3.37
Sc1 0.0000 0.0520 0.2569 (multiplicity 4)  9 Sc 3.25-3.37, 2 Er 3.38, 1 Dy 3.39
Sc2 0.0000 0.1632 0.5093 (multiplicity 4)  7 Sc 3.26-3.37, 3 Er 3.36, 2 Dy 3.47
Sc3 0.0000 0.3927 0.2508 (multiplicity 4)  8 Sc 3.22-3.37, 2 Dy 3.33, 2 Er 3.45
Sc4 0.0000 0.4967 0.0055 (multiplicity 4)  10 Sc 3.22-3.37, 2 Dy 3.36

Computed properties:
For the size of the total moment, the calculation gives 0.0 Bohr magnetons per cell. The crystal system is orthorhombic. The calculation puts the formation energy at 0.0338 eV per atom.

***

Record 4
## Ac2PaHg (GGA-PBE)

Data for an optimized crystal structure of Ac2PaHg.

Cell lengths 3.7337, 3.7337, 9.5433 Å; angles 90.00, 90.00, 90.00 degrees
Closest atoms and distances in Å follow each position.
Space group P4/mmm (No. 123)
Symmetry-distinct sites (fractional):
Ac1 0.0000 0.0000 0.2406 (multiplicity 2)  4 Hg 3.50, 4 Pa 3.62, 4 Ac 3.73
Pa1 0.5000 0.5000 0.5000 (multiplicity 1)  8 Ac 3.62, 4 Pa 3.73
Hg1 0.5000 0.5000 0.0000 (multiplicity 1)  8 Ac 3.50, 4 Hg 3.73

Computed properties:
For the size of the total moment, the calculation gives 0.3 Bohr magnetons per cell. The crystal system is tetragonal. The calculation puts the formation energy at 0.0422 eV per atom.

***

Record 5
## SbP2RuRh (GGA-PBE)

Data for an optimized crystal structure of SbP2RuRh.

Cell lengths 4.9582, 4.9582, 4.7882 Å; angles 90.00, 90.00, 90.00 degrees
Closest atoms and distances in Å follow each position.
Space group P4/mmm (No. 123)
Symmetry-distinct sites (fractional):
Sb1 0.0000 0.0000 0.0000 (multiplicity 1)  2 Rh 2.39, 4 P 2.48
P1 0.0000 0.5000 0.0000 (multiplicity 2)  2 Sb 2.48
Ru1 0.5000 0.5000 0.5000 (multiplicity 1)  8 P 3.45, 4 Rh 3.51
Rh1 0.0000 0.0000 0.5000 (multiplicity 1)  2 Sb 2.39

Computed properties:
For the size of the total moment, the calculation gives 2.2 Bohr magnetons per cell. As for the energy relative to the elements, uncorrected: 833 kJ/mol of formula units. The crystal system is tetragonal.

***

Record 6
## Ce3Co2P3 (GGA-PBE)

Data for an optimized crystal structure of Ce3Co2P3.

Cell lengths 3.9655, 10.5107, 13.7821 Å; angles 90.00, 90.00, 90.00 degrees
Closest atoms and distances in Å follow each position.
Space group Cmcm (No. 63)
Symmetry-distinct sites (fractional):
Ce1 0.0000 0.0746 0.1053 (multiplicity 8)  3 Co 2.88-3.17, 7 P 2.96-3.14
Ce2 0.0000 0.3647 0.2500 (multiplicity 4)  5 P 2.81-3.11, 4 Co 3.02
Co1 0.0000 0.2264 0.5998 (multiplicity 8)  4 P 2.29-2.44
P1 0.0000 0.3389 0.7500 (multiplicity 4)  2 Co 2.38
P2 0.0000 0.3566 0.0464 (multiplicity 8)  3 Co 2.29-2.44

Computed properties:
For the size of the total moment, the calculation gives 3.3 Bohr magnetons per cell. The crystal system is orthorhombic. The calculation puts the formation energy at -1.0690 eV per atom.

***

Record 7
## Th2MgZn7 (GGA-PBE)

Data for an optimized crystal structure of Th2MgZn7.

Cell lengths 4.2693, 4.2693, 10.8110 Å; angles 90.00, 90.00, 90.00 degrees
Closest atoms and distances in Å follow each position.
Space group P-4m2 (No. 115)
Symmetry-distinct sites (fractional):
Th1 0.0000 0.5000 0.2319 (multiplicity 2)  14 Zn 3.22-3.60, 2 Mg 3.60
Mg1 0.0000 0.0000 0.5000 (multiplicity 1)  4 Zn 2.66
Zn1 0.0000 0.0000 0.0000 (multiplicity 1)  4 Zn 2.54
Zn2 0.0000 0.5000 0.6468 (multiplicity 2)  3 Zn 2.44-2.66, 2 Mg 2.66
Zn3 0.0000 0.5000 0.8725 (multiplicity 2)  5 Zn 2.44-2.54
Zn4 0.5000 0.5000 0.0000 (multiplicity 1)  4 Zn 2.54
Zn5 0.5000 0.5000 0.5000 (multiplicity 1)  4 Zn 2.66

Computed properties:
For the size of the total moment, the calculation gives 0.0 Bohr magnetons per cell. The crystal system is tetragonal. The calculation puts the formation energy at -0.2380 eV per atom.

***

Record 8
## Sr2Mg16Cd (GGA-PBE)

Data for an optimized crystal structure of Sr2Mg16Cd.

Cell lengths 10.4970, 10.4970, 15.3562 Å; angles 90.00, 90.00, 120.00 degrees
Closest atoms and distances in Å follow each position.
Space group R3m (No. 160, hexagonal axes)
Symmetry-distinct sites (fractional):
Sr1 0.0000 0.0000 0.0000 (multiplicity 3)  19 Mg 3.70-4.07
Sr2 0.0000 0.0000 0.3279 (multiplicity 3)  1 Cd 3.56, 15 Mg 3.70-3.99
Mg1 0.0000 0.0000 0.7570 (multiplicity 3)  1 Cd 3.03, 6 Mg 3.25-3.33
Mg2 0.0000 0.2974 0.6643 (multiplicity 18)  8 Mg 3.01-3.20
Mg3 0.0014 0.5007 0.1641 (multiplicity 9)  9 Mg 3.01-3.25, 1 Cd 3.17
Mg4 0.0027 0.5013 0.8179 (multiplicity 9)  8 Mg 3.04-3.19, 1 Cd 3.27
Mg5 0.1675 0.3350 0.8447 (multiplicity 9)  9 Mg 3.04-3.33
Cd1 0.0000 0.0000 0.5600 (multiplicity 3)  7 Mg 3.03-3.27

Computed properties:
For the size of the total moment, the calculation gives 0.0 Bohr magnetons per cell. The crystal system is trigonal. The calculation puts the formation energy at -0.0673 eV per atom.

***

What did the third record say?
## DyErSc4 (GGA-PBE)

Data for an optimized crystal structure of DyErSc4.

Cell lengths 3.3711, 17.4432, 10.8217 Å; angles 90.00, 90.00, 90.00 degrees
Closest atoms and distances in Å follow each position.
Space group Cmc2_1 (No. 36)
Symmetry-distinct sites (fractional):
Dy1 0.0000 0.1632 0.0000 (multiplicity 4)  7 Sc 3.33-3.47, 3 Er 3.33-3.40, 2 Dy 3.37
Er1 0.0000 0.2798 0.7565 (multiplicity 4)  3 Dy 3.33-3.40, 7 Sc 3.36-3.45, 2 Er 3.37
Sc1 0.0000 0.0520 0.2569 (multiplicity 4)  9 Sc 3.25-3.37, 2 Er 3.38, 1 Dy 3.39
Sc2 0.0000 0.1632 0.5093 (multiplicity 4)  7 Sc 3.26-3.37, 3 Er 3.36, 2 Dy 3.47
Sc3 0.0000 0.3927 0.2508 (multiplicity 4)  8 Sc 3.22-3.37, 2 Dy 3.33, 2 Er 3.45
Sc4 0.0000 0.4967 0.0055 (multiplicity 4)  10 Sc 3.22-3.37, 2 Dy 3.36

Computed properties:
For the size of the total moment, the calculation gives 0.0 Bohr magnetons per cell. The crystal system is orthorhombic. The calculation puts the formation energy at 0.0338 eV per atom.